Compound: LiCr2Ir
Source: Alexandria
Functional: PBE
Structure: relaxed

Formation enthalpy at 0 K, kJ/mol of formula units: 160
Uncorrected energy, eV/f.u.: -28.36

Cell: 2.5721 2.5721 9.1149 Å, 90.00 90.00 115.75°
Closest atoms and distances in Å follow each position.
Sites, in units of the cell vectors:
Ir  0.5000  0.5000  0.2500  6 Ir 2.57-2.74, 4 Cr 2.59
Li  0.5000  0.5000  0.7500  6 Li 2.57-2.74, 4 Cr 2.73
Cr  0.0000  0.0000  0.0092  6 Cr 2.57-2.74, 2 Ir 2.59, 2 Li 2.73
Cr  0.0000  0.0000  0.4908  6 Cr 2.57-2.74, 2 Ir 2.59, 2 Li 2.73